(1)
Density functional theory data (PBE-GGA) for HgBiPb after structural relaxation.

a b c (Å): 7.5306 7.5306 7.5306
angles (deg): 90.00 90.00 90.00
Positions (direct):
Hg (0.0000, 0.0000, 0.0000)
Hg (0.0000, 0.5000, 0.5000)
Hg (0.5000, 0.0000, 0.5000)
Hg (0.5000, 0.5000, 0.0000)
Bi (0.2500, 0.2500, 0.7500)
Bi (0.2500, 0.7500, 0.2500)
Bi (0.7500, 0.2500, 0.2500)
Bi (0.7500, 0.7500, 0.7500)
Pb (0.0000, 0.0000, 0.5000)
Pb (0.0000, 0.5000, 0.0000)
Pb (0.5000, 0.0000, 0.0000)
Pb (0.5000, 0.5000, 0.5000)

Output
Excess energy over the best structure of this formula in the dataset in meV per atom: 75
E in eV per cell: -30.519
Density of states at the Fermi level in states/eV/cell: 9.7
Space group: F-43m (216)
Formation energy from the elements in meV/atom: 87



(2)
Density functional theory data (PBE-GGA) for Li14MgGe after structural relaxation.

a b c (Å): 6.8092 6.8092 6.5370
angles (deg): 90.00 90.00 90.00
Positions (direct):
Li (0.0000, 0.0000, 0.0000)
Li (0.0000, 0.5000, 0.0000)
Li (0.0000, 0.5000, 0.5000)
Li (0.2306, 0.2306, 0.2689)
Li (0.2306, 0.2306, 0.7311)
Li (0.2306, 0.7694, 0.2689)
Li (0.2306, 0.7694, 0.7311)
Li (0.5000, 0.0000, 0.0000)
Li (0.5000, 0.0000, 0.5000)
Li (0.5000, 0.5000, 0.0000)
Li (0.7694, 0.2306, 0.2689)
Li (0.7694, 0.2306, 0.7311)
Li (0.7694, 0.7694, 0.2689)
Li (0.7694, 0.7694, 0.7311)
Mg (0.5000, 0.5000, 0.5000)
Ge (0.0000, 0.0000, 0.5000)

Output
E in eV per cell: -34.175
Density of states at the Fermi level in states/eV/cell: 7.2
Space group: P4/mmm (123)
Formation energy from the elements in meV/atom: -73



(3)
Density functional theory data (PBE-GGA) for SbPd2O6 after structural relaxation.

a b c (Å): 4.6963 4.6963 9.5672
angles (deg): 90.00 90.00 90.00
Positions (direct):
Sb (0.0000, 0.0000, 0.0000)
Sb (0.5000, 0.5000, 0.5000)
Pd (0.0000, 0.0000, 0.3320)
Pd (0.0000, 0.0000, 0.6680)
Pd (0.5000, 0.5000, 0.1680)
Pd (0.5000, 0.5000, 0.8320)
O (0.1920, 0.1920, 0.1650)
O (0.1923, 0.1923, 0.5000)
O (0.1920, 0.1920, 0.8350)
O (0.3077, 0.6923, 0.0000)
O (0.3080, 0.6920, 0.3350)
O (0.3080, 0.6920, 0.6650)
O (0.6923, 0.3077, 0.0000)
O (0.6920, 0.3080, 0.3350)
O (0.6920, 0.3080, 0.6650)
O (0.8080, 0.8080, 0.1650)
O (0.8077, 0.8077, 0.5000)
O (0.8080, 0.8080, 0.8350)

Output
E in eV per cell: -101.361
Density of states at the Fermi level in states/eV/cell: 3.8
Space group: P4_2/mnm (136)
Raw formation energy in eV/atom: -0.7137



(4)
Density functional theory data (PBE-GGA) for HfPaTe2 after structural relaxation.

a b c (Å): 6.9932 3.8568 8.0602
angles (deg): 90.00 91.84 90.00
Positions (direct):
Hf (0.1303, 0.2500, 0.1214)
Hf (0.8697, 0.7500, 0.8786)
Pa (0.1424, 0.2500, 0.6128)
Pa (0.8576, 0.7500, 0.3872)
Te (0.2944, 0.7500, 0.8919)
Te (0.3211, 0.7500, 0.3478)
Te (0.6789, 0.2500, 0.6522)
Te (0.7056, 0.2500, 0.1081)

Output
Excess energy over the best structure of this formula in the dataset in meV per atom: 0
E in eV per cell: -56.379
Density of states at the Fermi level in states/eV/cell: 7.9
Space group: P2_1/m (11)
Raw formation energy in eV/atom: -0.6142



(5)
Density functional theory data (PBE-GGA) for Sr2YMo after structural relaxation.

a b c (Å): 4.4072 4.9871 11.4030
angles (deg): 90.00 90.00 90.00
Positions (direct):
Sr (0.0000, 0.0000, 0.2091)
Sr (0.0000, 0.0000, 0.7909)
Sr (0.5000, 0.5000, 0.2091)
Sr (0.5000, 0.5000, 0.7909)
Y (0.0000, 0.5000, 0.5000)
Y (0.5000, 0.0000, 0.5000)
Mo (0.0000, 0.5000, 0.0000)
Mo (0.5000, 0.0000, 0.0000)

Output
Excess energy over the best structure of this formula in the dataset in meV per atom: 370
E in eV per cell: -34.209
Density of states at the Fermi level in states/eV/cell: 9.5
Space group: Cmmm (65)
Formation energy from the elements in meV/atom: 889



(6)
Density functional theory data (PBE-GGA) for CoSbP2 after structural relaxation.

a b c (Å): 5.4940 5.4940 10.7762
angles (deg): 90.00 90.00 90.00
Positions (direct):
Co (0.0000, 0.0000, 0.0000)
Co (0.0000, 0.5000, 0.2500)
Co (0.5000, 0.0000, 0.7500)
Co (0.5000, 0.5000, 0.5000)
Sb (0.0000, 0.0000, 0.5000)
Sb (0.0000, 0.5000, 0.7500)
Sb (0.5000, 0.0000, 0.2500)
Sb (0.5000, 0.5000, 0.0000)
P (0.1728, 0.2500, 0.1250)
P (0.2500, 0.6728, 0.3750)
P (0.2500, 0.8272, 0.8750)
P (0.3272, 0.2500, 0.6250)
P (0.6728, 0.7500, 0.6250)
P (0.7500, 0.1728, 0.8750)
P (0.7500, 0.3272, 0.3750)
P (0.8272, 0.7500, 0.1250)

Output
E in eV per cell: -88.444
Density of states at the Fermi level in states/eV/cell: 9.3
Space group: I-42d (122)
Raw formation energy in eV/atom: -0.0157